1.
A plane-wave DFT calculation with GGA-PBE was carried out for an optimized crystal structure of PmGeBr6.

**Size of the total moment**: 0.00 Bohr magnetons per cell
**Energy**: -28.0 eV/f.u.
**Uncorrected formation energy**: -8.62 eV/f.u.

Cell and atoms, written as CIF:
```
data_PmGeBr6
_chemical_formula_sum 'Pm2 Ge2 Br12'
_cell_length_a 6.872
_cell_length_b 13.311
_cell_length_c 6.867
_cell_angle_alpha 90.00
_cell_angle_beta 107.33
_cell_angle_gamma 90.00
_space_group_name_H-M_alt 'C 1 2/m 1'
_space_group_IT_number 12
_space_group_name_Hall '-C 2y'
loop_
_atom_site_label
_atom_site_type_symbol
_atom_site_fract_x
_atom_site_fract_y
_atom_site_fract_z
_atom_site_occupancy
Pm1 Pm 0.000 0.000 0.000 1
Ge1 Ge 0.000 0.500 0.500 1
Br1 Br 0.229 0.358 0.730 1
Br2 Br 0.243 0.500 0.258 1
```

***

2.
A plane-wave DFT calculation with GGA-PBE was carried out for an optimized crystal structure of Pm3Ge2Br.

**Size of the total moment**: 3.83 Bohr magnetons per cell
**Energy**: -29.1 eV/f.u.
**E above lowest polymorph**: 0.413 eV/atom
**Uncorrected formation energy**: -3.97 eV/f.u.

Cell and atoms, written as CIF:
```
data_Pm3Ge2Br
_chemical_formula_sum 'Pm12 Ge8 Br4'
_cell_length_a 4.447
_cell_length_b 15.111
_cell_length_c 9.677
_cell_angle_alpha 90.00
_cell_angle_beta 90.00
_cell_angle_gamma 90.00
_space_group_name_H-M_alt 'C m c m'
_space_group_IT_number 63
_space_group_name_Hall '-C 2c 2'
loop_
_atom_site_label
_atom_site_type_symbol
_atom_site_fract_x
_atom_site_fract_y
_atom_site_fract_z
_atom_site_occupancy
Pm1 Pm 0.000 0.130 0.045 1
Pm2 Pm 0.000 0.366 0.250 1
Ge1 Ge 0.000 0.012 0.750 1
Ge2 Ge 0.000 0.500 0.000 1
Br1 Br 0.000 0.282 0.750 1
```

***

3.
A plane-wave DFT calculation with GGA-PBE was carried out for an optimized crystal structure of Pm3GeBr.

**Size of the total moment**: 0.63 Bohr magnetons per cell
**Energy**: -24.1 eV/f.u.
**Uncorrected formation energy**: -3.58 eV/f.u.

Cell and atoms, written as CIF:
```
data_Pm3GeBr
_chemical_formula_sum 'Pm6 Ge2 Br2'
_cell_length_a 7.400
_cell_length_b 4.085
_cell_length_c 11.116
_cell_angle_alpha 90.00
_cell_angle_beta 100.97
_cell_angle_gamma 90.00
_space_group_name_H-M_alt 'P 1 21/m 1'
_space_group_IT_number 11
_space_group_name_Hall '-P 2yb'
loop_
_atom_site_label
_atom_site_type_symbol
_atom_site_fract_x
_atom_site_fract_y
_atom_site_fract_z
_atom_site_occupancy
Pm1 Pm 0.164 0.250 0.419 1
Pm2 Pm 0.219 0.250 0.763 1
Pm3 Pm 0.237 0.750 0.079 1
Ge1 Ge 0.010 0.250 0.161 1
Br1 Br 0.453 0.750 0.356 1
```

***

4.
A plane-wave DFT calculation with GGA-PBE was carried out for an optimized crystal structure of Pm6GeBr8.

**Size of the total moment**: 0.00 Bohr magnetons per cell
**Energy**: -68.6 eV/f.u.
**Uncorrected formation energy**: -22.09 eV/f.u.

Cell and atoms, written as CIF:
```
data_Pm6GeBr8
_chemical_formula_sum 'Pm18 Ge3 Br24'
_cell_length_a 7.3281
_cell_length_b 7.3281
_cell_length_c 32.0800
_cell_angle_alpha 90.00
_cell_angle_beta 90.00
_cell_angle_gamma 120.00
_space_group_name_H-M_alt 'R -3'
_space_group_IT_number 148
_space_group_name_Hall '-R 3'
loop_
_atom_site_label
_atom_site_type_symbol
_atom_site_fract_x
_atom_site_fract_y
_atom_site_fract_z
_atom_site_occupancy
Pm1 Pm 0.0000 0.3085 0.4482 1
Ge1 Ge 0.0000 0.0000 0.5000 1
Br1 Br 0.0000 0.0000 0.1667 1
Br2 Br 0.0000 0.3390 0.6073 1
```

***

5.
A plane-wave DFT calculation with GGA-PBE was carried out for an optimized crystal structure of Pm4Ge2Br.

**Size of the total moment**: 0.00 Bohr magnetons per cell
**Energy**: -34.8 eV/f.u.
**E above lowest polymorph**: 0.183 eV/atom
**Uncorrected formation energy**: -4.86 eV/f.u.

Cell and atoms, written as CIF:
```
data_Pm4Ge2Br
_chemical_formula_sum 'Pm8 Ge4 Br2'
_cell_length_a 7.409
_cell_length_b 6.752
_cell_length_c 8.896
_cell_angle_alpha 90.00
_cell_angle_beta 110.91
_cell_angle_gamma 90.00
_space_group_name_H-M_alt 'P 1 21/m 1'
_space_group_IT_number 11
_space_group_name_Hall '-P 2yb'
loop_
_atom_site_label
_atom_site_type_symbol
_atom_site_fract_x
_atom_site_fract_y
_atom_site_fract_z
_atom_site_occupancy
Pm1 Pm 0.093 0.250 0.089 1
Pm2 Pm 0.193 0.750 0.345 1
Pm3 Pm 0.278 0.003 0.765 1
Ge1 Ge 0.057 0.250 0.447 1
Ge2 Ge 0.335 0.750 0.067 1
Br1 Br 0.470 0.250 0.362 1
```

***

6.
A plane-wave DFT calculation with GGA-PBE was carried out for an optimized crystal structure of Pm3GeBr2.

**Size of the total moment**: 0.00 Bohr magnetons per cell
**Energy**: -28.9 eV/f.u.
**Uncorrected formation energy**: -6.66 eV/f.u.

Cell and atoms, written as CIF:
```
data_Pm3GeBr2
_chemical_formula_sum 'Pm6 Ge2 Br4'
_cell_length_a 4.342
_cell_length_b 5.944
_cell_length_c 12.914
_cell_angle_alpha 90.00
_cell_angle_beta 90.00
_cell_angle_gamma 90.00
_space_group_name_H-M_alt 'I m m m'
_space_group_IT_number 71
_space_group_name_Hall '-I 2 2'
loop_
_atom_site_label
_atom_site_type_symbol
_atom_site_fract_x
_atom_site_fract_y
_atom_site_fract_z
_atom_site_occupancy
Pm1 Pm 0.000 0.000 0.000 1
Pm2 Pm 0.000 0.000 0.354 1
Ge1 Ge 0.000 0.500 0.000 1
Br1 Br 0.000 0.500 0.329 1
```